4
Lattice="0.000 3.068 3.068 3.068 0.000 3.068 3.068 3.068 0.000" Properties=species:S:1:pos:R:3 comment="Ti2FeCl | the Alexandria database | GGA-PBE | relaxed" formation_energy_uncorrected_ev_per_atom=0.2030 relative_energy_mev_per_atom=79 pbc="T T T"
Ti 1.534 1.534 1.534
Ti 4.601 4.601 4.601
Fe 0.000 0.000 0.000
Cl 3.068 3.068 3.068

=====

18
Lattice="6.180 -5.483 0.000 6.180 5.483 0.000 -1.089 0.000 6.404" Properties=species:S:1:pos:R:3 comment="TiFe2Cl6 | the Alexandria database | GGA-PBE | relaxed" formation_energy_uncorrected_ev_per_atom=-0.8760 pbc="T T T"
Ti 5.363 4.516 4.803
Ti 5.908 -4.516 1.601
Fe 3.065 0.968 4.406
Fe 3.610 -0.968 1.204
Fe 7.661 0.968 5.200
Fe 8.206 -0.968 1.998
Cl 0.703 0.903 3.961
Cl 3.735 2.890 5.532
Cl 1.247 -0.903 0.759
Cl 4.167 0.882 2.411
Cl 6.992 2.890 4.074
Cl 3.623 -0.882 5.613
Cl 7.649 0.882 0.791
Cl 4.280 -2.890 2.330
Cl 7.104 -0.882 3.993
Cl 10.024 0.903 5.646
Cl 7.537 -2.890 0.872
Cl 10.569 -0.903 2.443

=====

5
Lattice="4.533 0.000 0.000 0.000 4.533 0.000 0.000 0.000 4.533" Properties=species:S:1:pos:R:3 comment="TiFeCl3 | the Alexandria database | GGA-PBE | relaxed" formation_energy_uncorrected_ev_per_atom=0.1848 relative_energy_mev_per_atom=464 pbc="T T T"
Ti 0.000 0.000 0.000
Fe 2.267 2.267 2.267
Cl 0.000 2.267 2.267
Cl 2.267 0.000 2.267
Cl 2.267 2.267 0.000

=====

no.,DOS at the Fermi energy (states/eV per atom)
1,1.28
2,1.66
3,2.98